The following is a GGA-PBEsol calculation of crystalline OsPtS3 at its relaxed geometry, from the Alexandria database.

Geometry as POSCAR:
```
OsPtS3
1.0
-0.067 -4.401 -0.987
3.878 -0.560 2.235
-2.303 -0.816 3.792
Os S Pt
1 3 1
Direct
0.500 0.500 0.500
0.000 0.500 0.000
0.000 0.000 0.500
0.500 0.000 0.000
0.000 0.000 0.000
```

The volume comes out at 18.4 Å³ per atom. The uncorrected energy comes out at -24.825 eV/cell. The space-group type is Pm-3m, No. 221. As for the formation energy (no corrections): 1.50 eV/atom. For the magnetization, the calculation gives 0.0 Bohr magnetons per cell.